[1]
## RbPm4SmSe8 (GGA-PBE)

Data for a relaxed RbPm4SmSe8 crystal.

Results
ΔE_f (raw) (eV/f.u.): -24.3
Spin magnetization (μB/f.u.): 0.00
N(E_F) (states/eV/cell): 0.00

Cell: 8.843 8.843 8.822 Å, 59.92 59.92 60.00°
Atoms (fractional coordinates):
1 Rb 0.376 0.376 0.873
2 Se 0.758 0.758 0.257
3 Se 0.232 0.232 0.734
4 Se 0.228 0.758 0.257
5 Se 0.233 0.233 0.301
6 Se 0.232 0.802 0.734
7 Se 0.757 0.757 0.728
8 Pm 0.004 0.004 0.504
9 Pm 0.625 0.625 0.125
10 Sm 0.004 0.004 0.987
11 Se 0.758 0.228 0.257
12 Pm 0.487 0.004 0.504
13 Pm 0.004 0.487 0.504
14 Se 0.802 0.232 0.734

=====

[2]
## Rb2PmSmSe4 (GGA-PBE)

Data for a relaxed Rb2PmSmSe4 crystal.

Results
ΔE_f (raw) (eV/f.u.): -13.9
Spin magnetization (μB/f.u.): 0.00
N(E_F) (states/eV/cell): 0.00

Cell: 4.339 7.514 8.397 Å, 107.34 90.00 90.00°
Atoms (fractional coordinates):
1 Rb 0.000 0.500 0.500
2 Se 0.000 0.266 0.800
3 Rb 0.500 0.000 0.500
4 Se 0.000 0.734 0.200
5 Pm 0.500 0.500 0.000
6 Se 0.500 0.768 0.801
7 Se 0.500 0.232 0.199
8 Sm 0.000 0.000 0.000

=====

[3]
## Rb2Pm2SnSe6 (GGA-PBE)

Data for a relaxed Rb2Pm2SnSe6 crystal.

Results
ΔE_f (raw) (eV/f.u.): -14.5
Spin magnetization (μB/f.u.): 0.00

Cell: 7.267 7.267 8.627 Å, 98.34 98.34 119.60°
Atoms (fractional coordinates):
1 Rb 0.171 0.829 0.000
2 Se 0.383 0.068 0.694
3 Se 0.617 0.932 0.306
4 Pm 0.332 0.668 0.500
5 Se 0.932 0.617 0.306
6 Rb 0.829 0.171 0.000
7 Se 0.756 0.756 0.690
8 Se 0.068 0.383 0.694
9 Pm 0.668 0.332 0.500
10 Sn 0.000 0.000 0.500
11 Se 0.244 0.244 0.310

=====

Q: What is the spin magnetization in the first record?
A: 0.00 μB/f.u.

=====

Q: Which of these has the highest ΔE_f (raw)?
A: Rb2PmSmSe4